(1)
CuPtPbO4: relaxed, PBE-GGA.

Properties
Uncorrected formation energy ... -0.595 eV/atom
Crystal system ... orthorhombic
ρ ... 7.6 Mg/m³
Total moment ... 0.00 μB per formula unit
Calculated total energy ... -75.69 eV per cell

Cell lengths 6.853, 6.853, 6.853 Å; angles 123.90, 110.31, 95.46 degrees
Sites, in units of the cell vectors:
Cu 0.271 0.021 0.250
Cu 0.729 0.979 0.750
Pt 0.000 0.000 0.500
Pt 0.000 0.500 0.000
Pb 0.000 0.500 0.500
Pb 0.500 0.500 0.000
O 0.159 0.244 0.915
O 0.171 0.756 0.415
O 0.225 0.249 0.525
O 0.225 0.700 0.975
O 0.775 0.300 0.025
O 0.775 0.751 0.475
O 0.829 0.244 0.585
O 0.841 0.756 0.085

(2)
CuPtPbO6: relaxed, PBE-GGA.

Properties
Uncorrected formation energy ... -0.376 eV/atom
Crystal system ... trigonal
ρ ... 8.7 Mg/m³
Total moment ... 1.60 μB per formula unit
Calculated total energy ... -93.95 eV per cell

Cell lengths 5.428, 5.428, 8.436 Å; angles 90.00, 90.00, 120.00 degrees
Sites, in units of the cell vectors:
Cu 0.000 0.000 0.000
Cu 0.000 0.000 0.500
Pt 0.333 0.667 0.250
Pt 0.667 0.333 0.750
Pb 0.333 0.667 0.750
Pb 0.667 0.333 0.250
O 0.031 0.359 0.119
O 0.031 0.672 0.381
O 0.328 0.359 0.381
O 0.328 0.969 0.119
O 0.359 0.031 0.619
O 0.359 0.328 0.881
O 0.641 0.672 0.119
O 0.641 0.969 0.381
O 0.672 0.031 0.881
O 0.672 0.641 0.619
O 0.969 0.328 0.619
O 0.969 0.641 0.881